No. 1
The following is a GGA-PBE calculation of Pr6Fe13Au after structural relaxation, from Alexandria via LeMat-Bulk.

Unit cell a=12.9482 b=12.9482 c=12.9482 alpha=143.81 beta=143.81 gamma=52.12
Closest atoms and distances in Å follow each position.
Fractional positions:
Pr 0.0227 0.5227 0.1724  4 Fe 2.98-3.32
Pr 0.1069 0.1069 0.0000  12 Fe 3.05-3.25, 1 Au 3.33
Pr 0.1497 0.9773 0.5000  4 Fe 2.98-3.32
Pr 0.3503 0.8503 0.8276  4 Fe 2.98-3.32
Pr 0.3931 0.3931 0.0000  12 Fe 3.05-3.25, 1 Au 3.33
Pr 0.4773 0.6497 0.5000  4 Fe 2.98-3.32
Pr 0.5227 0.3503 0.5000  4 Fe 2.98-3.32
Pr 0.6069 0.6069 0.0000  12 Fe 3.05-3.25, 1 Au 3.33
Pr 0.6497 0.1497 0.1724  4 Fe 2.98-3.32
Pr 0.8503 0.0227 0.5000  4 Fe 2.98-3.32
Pr 0.8931 0.8931 0.0000  12 Fe 3.05-3.25, 1 Au 3.33
Pr 0.9773 0.4773 0.8276  4 Fe 2.98-3.32
Fe 0.0000 0.5000 0.5000  12 Fe 2.40-2.54
Fe 0.0194 0.2923 0.5000  7 Fe 2.50-2.64
Fe 0.0664 0.2096 0.2760  10 Fe 2.40-2.64
Fe 0.1200 0.6200 0.8575  9 Fe 2.45-2.74
Fe 0.2077 0.4806 0.5000  7 Fe 2.50-2.64
Fe 0.2096 0.9336 0.1432  10 Fe 2.40-2.64
Fe 0.2376 0.7376 0.8575  9 Fe 2.45-2.74
Fe 0.2624 0.1200 0.5000  9 Fe 2.45-2.74
Fe 0.2904 0.4336 0.7240  10 Fe 2.40-2.64
Fe 0.2923 0.7923 0.2729  7 Fe 2.50-2.64
Fe 0.3800 0.2376 0.5000  9 Fe 2.45-2.74
Fe 0.4336 0.7096 0.1432  10 Fe 2.40-2.64
Fe 0.4806 0.9806 0.2729  7 Fe 2.50-2.64
Fe 0.5000 0.0000 0.5000  12 Fe 2.40-2.54
Fe 0.5194 0.0194 0.7271  7 Fe 2.50-2.64
Fe 0.5664 0.2904 0.8568  10 Fe 2.40-2.64
Fe 0.6200 0.7624 0.5000  9 Fe 2.45-2.74
Fe 0.7077 0.2077 0.7271  7 Fe 2.50-2.64
Fe 0.7096 0.5664 0.2760  10 Fe 2.40-2.64
Fe 0.7376 0.8800 0.5000  9 Fe 2.45-2.74
Fe 0.7624 0.2624 0.1425  9 Fe 2.45-2.74
Fe 0.7904 0.0664 0.8568  10 Fe 2.40-2.64
Fe 0.7923 0.5194 0.5000  7 Fe 2.50-2.64
Fe 0.8800 0.3800 0.1425  9 Fe 2.45-2.74
Fe 0.9336 0.7904 0.7240  10 Fe 2.40-2.64
Fe 0.9806 0.7077 0.5000  7 Fe 2.50-2.64
Au 0.2500 0.2500 0.0000  10 Pr 3.33-3.35
Au 0.7500 0.7500 0.0000  10 Pr 3.33-3.35

formation energy = -61 meV/atom
SG = I4/mcm
N(E_F) = 1.10 states/eV per atom
ρ = 7.8 g cm⁻³



No. 2
The following is a GGA-PBE calculation of Fe2PtAu after structural relaxation, from Alexandria via LeMat-Bulk.

Unit cell a=3.8874 b=3.8874 c=7.7364 alpha=90.00 beta=90.00 gamma=90.00
Closest atoms and distances in Å follow each position.
Fractional positions:
Fe 0.0000 0.5000 0.2500  4 Pt 2.74, 4 Au 2.74, 4 Fe 2.75
Fe 0.0000 0.5000 0.7500  4 Pt 2.74, 4 Au 2.74, 4 Fe 2.75
Fe 0.5000 0.0000 0.2500  4 Pt 2.74, 4 Au 2.74, 4 Fe 2.75
Fe 0.5000 0.0000 0.7500  4 Pt 2.74, 4 Au 2.74, 4 Fe 2.75
Pt 0.0000 0.0000 0.0000  8 Fe 2.74, 4 Au 2.75
Pt 0.5000 0.5000 0.5000  8 Fe 2.74, 4 Au 2.75
Au 0.0000 0.0000 0.5000  8 Fe 2.74, 4 Pt 2.75
Au 0.5000 0.5000 0.0000  8 Fe 2.74, 4 Pt 2.75

formation energy = -26 meV/atom
energy above the lowest structure with this stoichiometry = 22.7 meV/atom
SG = I4/mmm
N(E_F) = 0.70 states/eV per atom
ρ = 14.3 g cm⁻³



No. 3
The following is a GGA-PBE calculation of Fe2PtAu after structural relaxation, from Alexandria via LeMat-Bulk.

Unit cell a=2.7719 b=2.7719 c=7.6347 alpha=90.00 beta=90.00 gamma=90.00
Closest atoms and distances in Å follow each position.
Fractional positions:
Fe 0.0000 0.0000 0.2401  4 Pt 2.68, 4 Fe 2.77, 4 Au 2.79
Fe 0.0000 0.0000 0.7599  4 Pt 2.68, 4 Fe 2.77, 4 Au 2.79
Pt 0.5000 0.5000 0.0000  8 Fe 2.68, 4 Pt 2.77
Au 0.5000 0.5000 0.5000  4 Au 2.77, 8 Fe 2.79

formation energy = -42 meV/atom
energy above the lowest structure with this stoichiometry = 6.2 meV/atom
SG = P4/mmm
N(E_F) = 0.76 states/eV per atom
ρ = 14.3 g cm⁻³



No. 4
The following is a GGA-PBE calculation of Fe2Pt3Au after structural relaxation, from Alexandria via LeMat-Bulk.

Unit cell a=2.7744 b=2.7744 c=11.6933 alpha=90.00 beta=90.00 gamma=90.00
Closest atoms and distances in Å follow each position.
Fractional positions:
Fe 0.0000 0.0000 0.1587  8 Pt 2.65-2.70, 4 Fe 2.77
Fe 0.0000 0.0000 0.8413  8 Pt 2.65-2.70, 4 Fe 2.77
Pt 0.5000 0.5000 0.0000  8 Fe 2.70, 4 Pt 2.77
Pt 0.5000 0.5000 0.3112  4 Fe 2.65, 4 Pt 2.77, 4 Au 2.95
Pt 0.5000 0.5000 0.6888  4 Fe 2.65, 4 Pt 2.77, 4 Au 2.95
Au 0.0000 0.0000 0.5000  4 Au 2.77, 8 Pt 2.95

formation energy = -166 meV/atom
SG = P4/mmm
N(E_F) = 0.83 states/eV per atom
ρ = 16.5 g cm⁻³



No. 5
The following is a GGA-PBE calculation of Fe2PtAu after structural relaxation, from Alexandria via LeMat-Bulk.

Unit cell a=2.7979 b=2.7979 c=25.9933 alpha=90.00 beta=90.00 gamma=120.00
Closest atoms and distances in Å follow each position.
Fractional positions:
Fe 0.0000 0.0000 0.0000  3 Fe 2.42, 3 Pt 2.66
Fe 0.0000 0.0000 0.2641  3 Fe 2.42
Fe 0.3333 0.6667 0.6667  3 Fe 2.42, 3 Pt 2.66
Fe 0.3333 0.6667 0.9308  3 Fe 2.42
Fe 0.6667 0.3333 0.3333  3 Fe 2.42, 3 Pt 2.66
Fe 0.6667 0.3333 0.5975  3 Fe 2.42
Pt 0.0000 0.0000 0.7478  3 Fe 2.66, 6 Pt 2.80
Pt 0.3333 0.6667 0.4144  3 Fe 2.66, 6 Pt 2.80
Pt 0.6667 0.3333 0.0811  3 Fe 2.66, 6 Pt 2.80
Au 0.0000 0.0000 0.5110  3 Fe 2.77, 6 Au 2.80, 3 Pt 2.98
Au 0.3333 0.6667 0.1777  3 Fe 2.77, 6 Au 2.80, 3 Pt 2.98
Au 0.6667 0.3333 0.8443  3 Fe 2.77, 6 Au 2.80, 3 Pt 2.98

formation energy = 45 meV/atom
energy above the lowest structure with this stoichiometry = 93.2 meV/atom
SG = R3m
N(E_F) = 0.73 states/eV per atom
ρ = 14.2 g cm⁻³



No. 6
The following is a GGA-PBE calculation of Fe2Pt6Au after structural relaxation, from Alexandria via LeMat-Bulk.

Unit cell a=4.8373 b=4.8373 c=8.3444 alpha=106.65 beta=106.65 gamma=47.97
Closest atoms and distances in Å follow each position.
Fractional positions:
Fe 0.1739 0.1739 0.2293  10 Pt 2.73-2.87, 2 Au 2.84
Fe 0.8261 0.8261 0.7707  10 Pt 2.73-2.87, 2 Au 2.84
Pt 0.1680 0.1680 0.8880  4 Fe 2.76-2.87, 5 Pt 2.77-2.79, 3 Au 2.79-2.80
Pt 0.1703 0.1703 0.5554  3 Fe 2.73, 9 Pt 2.74-2.86
Pt 0.4986 0.4986 0.3308  3 Fe 2.73-2.79, 1 Au 2.76, 8 Pt 2.77-2.82
Pt 0.5014 0.5014 0.6692  3 Fe 2.73-2.79, 1 Au 2.76, 8 Pt 2.77-2.82
Pt 0.8297 0.8297 0.4446  3 Fe 2.73, 9 Pt 2.74-2.86
Pt 0.8320 0.8320 0.1120  4 Fe 2.76-2.87, 5 Pt 2.77-2.79, 3 Au 2.79-2.80
Au 0.5000 0.5000 0.0000  8 Pt 2.76-2.80, 4 Fe 2.84

formation energy = -133 meV/atom
SG = C2/m
N(E_F) = 0.85 states/eV per atom
ρ = 17.8 g cm⁻³



No. 7
The following is a GGA-PBE calculation of FePtAu2 after structural relaxation, from Alexandria via LeMat-Bulk.

Unit cell a=9.3352 b=2.8709 c=4.9321 alpha=90.00 beta=101.94 gamma=90.00
Closest atoms and distances in Å follow each position.
Fractional positions:
Fe 0.0000 0.0000 0.0000  3 Pt 2.66-2.89, 7 Au 2.78-2.92, 2 Fe 2.87
Fe 0.5000 0.5000 0.0000  3 Pt 2.66-2.89, 7 Au 2.78-2.92, 2 Fe 2.87
Pt 0.2643 0.0000 0.7820  3 Fe 2.66-2.89, 7 Au 2.79-2.93, 2 Pt 2.87
Pt 0.7643 0.5000 0.7820  3 Fe 2.66-2.89, 7 Au 2.79-2.93, 2 Pt 2.87
Au 0.0064 0.5000 0.5157  5 Au 2.79-2.88, 4 Fe 2.80-2.91, 3 Pt 2.84-2.88
Au 0.2458 0.5000 0.2586  3 Fe 2.78-2.92, 5 Au 2.79-2.88, 4 Pt 2.79-2.93
Au 0.5064 0.0000 0.5157  5 Au 2.79-2.88, 4 Fe 2.80-2.91, 3 Pt 2.84-2.88
Au 0.7458 0.0000 0.2586  3 Fe 2.78-2.92, 5 Au 2.79-2.88, 4 Pt 2.79-2.93

formation energy = 41 meV/atom
SG = Cm
N(E_F) = 0.68 states/eV per atom
ρ = 16.6 g cm⁻³



No. 8
The following is a GGA-PBE calculation of FePtAu2 after structural relaxation, from Alexandria via LeMat-Bulk.

Unit cell a=9.4593 b=2.8634 c=4.8583 alpha=90.00 beta=101.13 gamma=90.00
Closest atoms and distances in Å follow each position.
Fractional positions:
Fe 0.0000 0.0000 0.0000  6 Au 2.78-2.89, 4 Pt 2.82, 2 Fe 2.86
Fe 0.5000 0.5000 0.0000  6 Au 2.78-2.89, 4 Pt 2.82, 2 Fe 2.86
Pt 0.0000 0.5000 0.5000  4 Fe 2.82, 6 Au 2.83-2.88, 2 Pt 2.86
Pt 0.5000 0.0000 0.5000  4 Fe 2.82, 6 Au 2.83-2.88, 2 Pt 2.86
Au 0.2444 0.5000 0.2437  3 Fe 2.78-2.89, 6 Au 2.79-2.86, 3 Pt 2.83-2.88
Au 0.2556 0.0000 0.7563  3 Fe 2.78-2.89, 6 Au 2.79-2.86, 3 Pt 2.83-2.88
Au 0.7444 0.0000 0.2437  3 Fe 2.78-2.89, 6 Au 2.79-2.86, 3 Pt 2.83-2.88
Au 0.7556 0.5000 0.7563  3 Fe 2.78-2.89, 6 Au 2.79-2.86, 3 Pt 2.83-2.88

formation energy = 54 meV/atom
SG = C2/m
N(E_F) = 0.59 states/eV per atom
ρ = 16.6 g cm⁻³



No. 9
The following is a GGA-PBE calculation of Fe2PtAu after structural relaxation, from Alexandria via LeMat-Bulk.

Unit cell a=6.0465 b=6.0465 c=6.0465 alpha=90.00 beta=90.00 gamma=90.00
Closest atoms and distances in Å follow each position.
Fractional positions:
Fe 0.2500 0.2500 0.2500  4 Au 2.62, 4 Pt 2.62
Fe 0.2500 0.2500 0.7500  4 Pt 2.62, 4 Au 2.62
Fe 0.2500 0.7500 0.2500  4 Pt 2.62, 4 Au 2.62
Fe 0.2500 0.7500 0.7500  4 Pt 2.62, 4 Au 2.62
Fe 0.7500 0.2500 0.2500  4 Pt 2.62, 4 Au 2.62
Fe 0.7500 0.2500 0.7500  4 Pt 2.62, 4 Au 2.62
Fe 0.7500 0.7500 0.2500  4 Pt 2.62, 4 Au 2.62
Fe 0.7500 0.7500 0.7500  4 Pt 2.62, 4 Au 2.62
Pt 0.0000 0.0000 0.0000  8 Fe 2.62
Pt 0.0000 0.5000 0.5000  8 Fe 2.62
Pt 0.5000 0.0000 0.5000  8 Fe 2.62
Pt 0.5000 0.5000 0.0000  8 Fe 2.62
Au 0.0000 0.0000 0.5000  8 Fe 2.62
Au 0.0000 0.5000 0.0000  8 Fe 2.62
Au 0.5000 0.0000 0.0000  8 Fe 2.62
Au 0.5000 0.5000 0.5000  8 Fe 2.62

formation energy = 532 meV/atom
energy above the lowest structure with this stoichiometry = 580.1 meV/atom
SG = Fm-3m
N(E_F) = 2.57 states/eV per atom
ρ = 15.1 g cm⁻³



No. 10
The following is a GGA-PBE calculation of Fe4PtAu after structural relaxation, from Alexandria via LeMat-Bulk.

Unit cell a=4.8489 b=4.8489 c=4.8489 alpha=60.00 beta=60.00 gamma=60.00
Closest atoms and distances in Å follow each position.
Fractional positions:
Fe 0.1252 0.1252 0.1252  6 Fe 2.42-2.43
Fe 0.1252 0.1252 0.6244  6 Fe 2.42-2.43
Fe 0.1252 0.6244 0.1252  6 Fe 2.42-2.43
Fe 0.6244 0.1252 0.1252  6 Fe 2.42-2.43
Pt 0.7500 0.7500 0.7500  12 Fe 2.84, 4 Au 2.97
Au 0.5000 0.5000 0.5000  12 Fe 2.84, 4 Pt 2.97

formation energy = 27 meV/atom
SG = F-43m
N(E_F) = 0.81 states/eV per atom
ρ = 12.7 g cm⁻³



No. 11
The following is a GGA-PBE calculation of FePtAu2 after structural relaxation, from Alexandria via LeMat-Bulk.

Unit cell a=6.3848 b=6.3848 c=6.3848 alpha=90.00 beta=90.00 gamma=90.00
Closest atoms and distances in Å follow each position.
Fractional positions:
Fe 0.0000 0.0000 0.0000  8 Au 2.76
Fe 0.0000 0.5000 0.5000  8 Au 2.76
Fe 0.5000 0.0000 0.5000  8 Au 2.76
Fe 0.5000 0.5000 0.0000  8 Au 2.76
Pt 0.0000 0.0000 0.5000  8 Au 2.76
Pt 0.0000 0.5000 0.0000  8 Au 2.76
Pt 0.5000 0.0000 0.0000  8 Au 2.76
Pt 0.5000 0.5000 0.5000  8 Au 2.76
Au 0.2500 0.2500 0.2500  4 Fe 2.76, 4 Pt 2.76
Au 0.2500 0.2500 0.7500  4 Pt 2.76, 4 Fe 2.76
Au 0.2500 0.7500 0.2500  4 Pt 2.76, 4 Fe 2.76
Au 0.2500 0.7500 0.7500  4 Fe 2.76, 4 Pt 2.76
Au 0.7500 0.2500 0.2500  4 Pt 2.76, 4 Fe 2.76
Au 0.7500 0.2500 0.7500  4 Fe 2.76, 4 Pt 2.76
Au 0.7500 0.7500 0.2500  4 Fe 2.76, 4 Pt 2.76
Au 0.7500 0.7500 0.7500  4 Pt 2.76, 4 Fe 2.76

formation energy = 114 meV/atom
SG = Fm-3m
N(E_F) = 0.72 states/eV per atom
ρ = 16.5 g cm⁻³



No. 12
The following is a GGA-PBE calculation of FePtAu2 after structural relaxation, from Alexandria via LeMat-Bulk.

Unit cell a=2.8605 b=2.8605 c=7.8720 alpha=90.00 beta=90.00 gamma=90.00
Closest atoms and distances in Å follow each position.
Fractional positions:
Fe 0.0000 0.0000 0.0000  4 Pt 2.62, 4 Au 2.76, 4 Fe 2.86
Pt 0.5000 0.5000 0.2120  4 Fe 2.62, 4 Pt 2.86, 4 Au 2.93
Au 0.0000 0.0000 0.4814  8 Au 2.86-2.99, 4 Pt 2.93
Au 0.5000 0.5000 0.7606  4 Fe 2.76, 8 Au 2.86-2.99

formation energy = -39 meV/atom
SG = P4mm
N(E_F) = 0.79 states/eV per atom
ρ = 16.6 g cm⁻³



Q: formation energy of number 8 (FePtAu2)?
A: 54 meV/atom



Q: What is the formula in the third record?
A: Fe2PtAu



Q: Among the records above, which one has the highest formation energy?
A: number 9